Computed, not measured: a geometry-optimized LiPuCuSe3 structure at the GGA-PBE level of DFT.

Values from the calculation:
Raw total energy ... -6.09 eV per atom
Crystal system ... monoclinic
Raw formation energy ... -5.77 eV/f.u.
Theoretical density ... 7.04 g/cm3

Lattice parameters (Å, degrees): 7.923 3.881 8.630 90.00 101.36 90.00
Space group P2_1/m (No. 11)
Symmetry-distinct sites (fractional):
Li (0.150, 0.250, 0.156) x2
Pu (0.323, 0.750, 0.777) x2
Cu (0.417, 0.750, 0.419) x2
Se (0.085, 0.250, 0.837) x2
Se (0.260, 0.250, 0.496) x2
Se (0.404, 0.750, 0.135) x2


Computed, not measured: a geometry-optimized LiPuCuSi structure at the GGA-PBE level of DFT.

Values from the calculation:
Raw total energy ... -6.54 eV per atom
Crystal system ... cubic
Raw formation energy ... -0.38 eV/f.u.
Theoretical density ... 8.61 g/cm3

Lattice parameters (Å, degrees): 6.418 6.418 6.418 90.00 90.00 90.00
Space group F-43m (No. 216)
Symmetry-distinct sites (fractional):
Li (0.000, 0.000, 0.000) x4
Pu (0.250, 0.250, 0.750) x4
Cu (0.000, 0.000, 0.500) x4
Si (0.250, 0.250, 0.250) x4


Computed, not measured: a geometry-optimized LiPu2Cu4Si3 structure at the GGA-PBE level of DFT.

Values from the calculation:
Raw total energy ... -6.62 eV per atom
Crystal system ... tetragonal
Raw formation energy ... -2.99 eV/f.u.
Theoretical density ... 8.56 g/cm3

Lattice parameters (Å, degrees): 4.091 4.091 9.655 90.00 90.00 90.00
Space group P-4m2 (No. 115)
Symmetry-distinct sites (fractional):
Li (0.000, 0.000, 0.000) x1
Pu (0.000, 0.500, 0.744) x2
Cu (0.000, 0.000, 0.500) x1
Cu (0.000, 0.500, 0.125) x2
Cu (0.500, 0.500, 0.500) x1
Si (0.000, 0.500, 0.364) x2
Si (0.500, 0.500, 0.000) x1


Computed, not measured: a geometry-optimized LiPuCu2Si2 structure at the GGA-PBE level of DFT.

Values from the calculation:
Raw total energy ... -6.19 eV per atom
Crystal system ... trigonal
Raw formation energy ... -1.84 eV/f.u.
Theoretical density ... 7.59 g/cm3

Lattice parameters (Å, degrees): 4.0659 4.0659 6.6392 90.00 90.00 120.00
Space group P-3m1 (No. 164)
Symmetry-distinct sites (fractional):
Li (0.0000, 0.0000, 0.0000) x1
Pu (0.0000, 0.0000, 0.5000) x1
Cu (0.3333, 0.6667, 0.1604) x2
Si (0.3333, 0.6667, 0.7773) x2


Computed, not measured: a geometry-optimized LiPuCuTe3 structure at the GGA-PBE level of DFT.

Values from the calculation:
Raw total energy ... -5.63 eV per atom
Crystal system ... monoclinic
Raw formation energy ... -4.01 eV/f.u.
Theoretical density ... 7.24 g/cm3

Lattice parameters (Å, degrees): 8.523 4.160 9.072 90.00 96.00 90.00
Space group P2_1/m (No. 11)
Symmetry-distinct sites (fractional):
Li (0.146, 0.250, 0.166) x2
Pu (0.342, 0.750, 0.775) x2
Cu (0.433, 0.750, 0.431) x2
Te (0.089, 0.250, 0.840) x2
Te (0.259, 0.250, 0.498) x2
Te (0.392, 0.750, 0.139) x2


Computed, not measured: a geometry-optimized LiPuTlCu structure at the GGA-PBE level of DFT.

Values from the calculation:
Raw total energy ... -5.62 eV per atom
Crystal system ... cubic
Theoretical density ... 10.81 g/cm3

Lattice parameters (Å, degrees): 6.831 6.831 6.831 90.00 90.00 90.00
Space group F-43m (No. 216)
Symmetry-distinct sites (fractional):
Li (0.000, 0.000, 0.000) x4
Pu (0.250, 0.250, 0.250) x4
Tl (0.250, 0.250, 0.750) x4
Cu (0.000, 0.000, 0.500) x4


Computed, not measured: a geometry-optimized RbLi2Cu structure at the GGA-PBE level of DFT.

Values from the calculation:
Raw total energy ... -1.82 eV per atom
Crystal system ... cubic
E above lowest polymorph ... 0.214 eV/atom
Theoretical density ... 2.57 g/cm3

Lattice parameters (Å, degrees): 7.499 7.499 7.499 90.00 90.00 90.00
Space group Fm-3m (No. 225)
Symmetry-distinct sites (fractional):
Rb (0.000, 0.000, 0.000) x4
Li (0.250, 0.250, 0.250) x8
Cu (0.000, 0.000, 0.500) x4


Computed, not measured: a geometry-optimized RbLi2Cu structure at the GGA-PBE level of DFT.

Values from the calculation:
Raw total energy ... -2.03 eV per atom
Crystal system ... trigonal
E above lowest polymorph ... 0.000 eV/atom
Theoretical density ... 2.29 g/cm3

Lattice parameters (Å, degrees): 4.5661 4.5661 19.6145 90.00 90.00 120.00
Space group R-3m (No. 166, hexagonal axes)
Symmetry-distinct sites (fractional):
Rb (0.0000, 0.0000, 0.0000) x3
Li (0.0000, 0.0000, 0.1909) x6
Cu (0.0000, 0.0000, 0.5000) x3


Computed, not measured: a geometry-optimized RbLi2Cu2 structure at the GGA-PBE level of DFT.

Values from the calculation:
Raw total energy ... -2.35 eV per atom
Crystal system ... tetragonal
E above lowest polymorph ... 0.000 eV/atom
Theoretical density ... 3.24 g/cm3

Lattice parameters (Å, degrees): 4.565 4.565 11.157 90.00 90.00 90.00
Space group I4/mmm (No. 139)
Symmetry-distinct sites (fractional):
Rb (0.000, 0.000, 0.000) x2
Li (0.000, 0.500, 0.250) x4
Cu (0.000, 0.000, 0.389) x4


Computed, not measured: a geometry-optimized RbLiCu3 structure at the GGA-PBE level of DFT.

Values from the calculation:
Raw total energy ... -2.40 eV per atom
Crystal system ... cubic
E above lowest polymorph ... 0.000 eV/atom
Theoretical density ... 4.26 g/cm3

Lattice parameters (Å, degrees): 4.797 4.797 4.797 90.00 90.00 90.00
Space group Pm-3m (No. 221)
Symmetry-distinct sites (fractional):
Rb (0.000, 0.000, 0.000) x1
Li (0.500, 0.500, 0.500) x1
Cu (0.000, 0.500, 0.500) x3


Computed, not measured: a geometry-optimized RbLi2Cu2 structure at the GGA-PBE level of DFT.

Values from the calculation:
Raw total energy ... -2.30 eV per atom
Crystal system ... tetragonal
E above lowest polymorph ... 0.047 eV/atom
Theoretical density ... 3.53 g/cm3

Lattice parameters (Å, degrees): 8.236 8.236 3.143 90.00 90.00 90.00
Space group P4/mbm (No. 127)
Symmetry-distinct sites (fractional):
Rb (0.000, 0.000, 0.000) x2
Li (0.149, 0.351, 0.500) x4
Cu (0.109, 0.609, 0.000) x4


Computed, not measured: a geometry-optimized RbLi2Cu2 structure at the GGA-PBE level of DFT.

Values from the calculation:
Raw total energy ... -2.31 eV per atom
Crystal system ... tetragonal
E above lowest polymorph ... 0.041 eV/atom
Theoretical density ... 3.64 g/cm3

Lattice parameters (Å, degrees): 8.036 8.036 3.203 90.00 90.00 90.00
Space group P4/mbm (No. 127)
Symmetry-distinct sites (fractional):
Rb (0.000, 0.000, 0.000) x2
Li (0.144, 0.356, 0.000) x4
Cu (0.118, 0.618, 0.500) x4


Computed, not measured: a geometry-optimized RbLiCu2 structure at the GGA-PBE level of DFT.

Values from the calculation:
Raw total energy ... -2.15 eV per atom
Crystal system ... cubic
E above lowest polymorph ... 0.267 eV/atom
Theoretical density ... 3.55 g/cm3

Lattice parameters (Å, degrees): 7.430 7.430 7.430 90.00 90.00 90.00
Space group Fm-3m (No. 225)
Symmetry-distinct sites (fractional):
Rb (0.000, 0.000, 0.000) x4
Li (0.000, 0.000, 0.500) x4
Cu (0.250, 0.250, 0.250) x8


Computed, not measured: a geometry-optimized RbLiCu2 structure at the GGA-PBE level of DFT.

Values from the calculation:
Raw total energy ... -2.41 eV per atom
Crystal system ... tetragonal
E above lowest polymorph ... 0.000 eV/atom
Theoretical density ... 3.33 g/cm3

Lattice parameters (Å, degrees): 4.958 4.958 17.816 90.00 90.00 90.00
Space group I4_1/amd (No. 141, origin choice 2)
Symmetry-distinct sites (fractional):
Rb (0.000, 0.250, 0.375) x4
Li (0.000, 0.250, 0.875) x4
Cu (0.000, 0.000, 0.000) x8


Computed, not measured: a geometry-optimized RbLiCu3 structure at the GGA-PBE level of DFT.

Values from the calculation:
Raw total energy ... -1.55 eV per atom
Crystal system ... cubic
E above lowest polymorph ... 0.844 eV/atom
Theoretical density ... 2.43 g/cm3

Lattice parameters (Å, degrees): 5.782 5.782 5.782 90.00 90.00 90.00
Space group Pm-3m (No. 221)
Symmetry-distinct sites (fractional):
Rb (0.000, 0.000, 0.000) x1
Li (0.500, 0.500, 0.500) x1
Cu (0.000, 0.000, 0.500) x3


Computed, not measured: a geometry-optimized RbLi2Cu structure at the GGA-PBE level of DFT.

Values from the calculation:
Raw total energy ... -1.90 eV per atom
Crystal system ... tetragonal
E above lowest polymorph ... 0.134 eV/atom
Theoretical density ... 1.96 g/cm3

Lattice parameters (Å, degrees): 5.750 5.750 16.722 90.00 90.00 90.00
Space group I4_1/amd (No. 141, origin choice 2)
Symmetry-distinct sites (fractional):
Rb (0.000, 0.250, 0.375) x4
Li (0.000, 0.000, 0.000) x8
Cu (0.000, 0.250, 0.875) x4


Computed, not measured: a geometry-optimized RbLiCu2Se2 structure at the GGA-PBE level of DFT.

Values from the calculation:
Raw total energy ... -3.66 eV per atom
Crystal system ... trigonal
Raw formation energy ... -3.90 eV/f.u.
Theoretical density ... 4.96 g/cm3

Lattice parameters (Å, degrees): 4.1921 4.1921 8.3086 90.00 90.00 120.00
Space group P-3m1 (No. 164)
Symmetry-distinct sites (fractional):
Rb (0.0000, 0.0000, 0.0000) x1
Li (0.0000, 0.0000, 0.5000) x1
Cu (0.3333, 0.6667, 0.3536) x2
Se (0.3333, 0.6667, 0.6990) x2


Computed, not measured: a geometry-optimized RbLiCuSn2 structure at the GGA-PBE level of DFT.

Values from the calculation:
Raw total energy ... -1.63 eV per atom
Crystal system ... tetragonal
Theoretical density ... 3.50 g/cm3

Lattice parameters (Å, degrees): 6.179 6.179 4.885 90.00 90.00 90.00
Space group P4/mmm (No. 123)
Symmetry-distinct sites (fractional):
Rb (0.000, 0.000, 0.000) x1
Li (0.000, 0.000, 0.500) x1
Cu (0.500, 0.500, 0.500) x1
Sn (0.000, 0.500, 0.000) x2


Computed, not measured: a geometry-optimized RbSr2LiCu structure at the GGA-PBE level of DFT.

Values from the calculation:
Raw total energy ... -1.92 eV per atom
Crystal system ... tetragonal
Theoretical density ... 2.59 g/cm3

Lattice parameters (Å, degrees): 6.114 6.114 5.689 90.00 90.00 90.00
Space group P4/mmm (No. 123)
Symmetry-distinct sites (fractional):
Rb (0.000, 0.000, 0.000) x1
Sr (0.000, 0.500, 0.500) x2
Li (0.500, 0.500, 0.000) x1
Cu (0.500, 0.500, 0.500) x1


Computed, not measured: a geometry-optimized Rb2SrLiCu structure at the GGA-PBE level of DFT.

Values from the calculation:
Raw total energy ... -1.56 eV per atom
Crystal system ... tetragonal
Theoretical density ... 2.18 g/cm3

Lattice parameters (Å, degrees): 6.877 6.877 5.306 90.00 90.00 90.00
Space group P4/mmm (No. 123)
Symmetry-distinct sites (fractional):
Rb (0.000, 0.500, 0.000) x2
Sr (0.000, 0.000, 0.500) x1
Li (0.500, 0.500, 0.500) x1
Cu (0.500, 0.500, 0.000) x1